No. 1
Below is a geometry-optimized BaSi3O structure, with properties calculated at the PBE level.

Cell: 5.8397 5.8397 5.8397 Å, 90.00 90.00 90.00°
With the nearest neighbours (Å) after each atom.
Element x y z (fractional)
Ba: 0.0000 0.0000 0.0000  6 Si 2.92
Si: 0.0000 0.0000 0.5000  2 Ba 2.92
Si: 0.0000 0.5000 0.0000  2 Ba 2.92
Si: 0.5000 0.0000 0.0000  2 Ba 2.92
O: 0.5000 0.5000 0.5000  12 Si 4.13

Properties
The calculation puts the energy above the most stable polymorph in this dataset at 2113.1 meV per atom.

=====

No. 2
Below is a geometry-optimized PaTcP2Ru2 structure, with properties calculated at the PBE level.

Cell: 8.5615 8.5615 8.5615 Å, 153.79 153.79 37.40°
With the nearest neighbours (Å) after each atom.
Element x y z (fractional)
Pa: 0.0000 0.0000 0.0000  4 Tc 2.75, 2 P 2.81
Tc: 0.5000 0.5000 0.0000  4 Pa 2.75
P: 0.1735 0.1735 0.0000  4 Ru 2.30
P: 0.8265 0.8265 0.0000  4 Ru 2.30
Ru: 0.2500 0.7500 0.5000  4 P 2.30
Ru: 0.7500 0.2500 0.5000  4 P 2.30

Properties
The total energy comes out at -8.237 eV per atom.

=====

No. 3
Below is a geometry-optimized CdReBr6 structure, with properties calculated at the PBE level.

Cell: 7.0895 7.0895 6.7803 Å, 99.65 99.65 122.73°
With the nearest neighbours (Å) after each atom.
Element x y z (fractional)
Cd: 0.0000 0.0000 0.0000  4 Br 2.74
Re: 0.5000 0.5000 0.5000  6 Br 2.50-2.55
Br: 0.1235 0.4134 0.2658  1 Re 2.55, 1 Cd 2.74
Br: 0.2736 0.2736 0.7223  1 Re 2.50
Br: 0.4134 0.1235 0.2658  1 Re 2.55, 1 Cd 2.74
Br: 0.5866 0.8765 0.7342  1 Re 2.55, 1 Cd 2.74
Br: 0.7264 0.7264 0.2777  1 Re 2.50
Br: 0.8765 0.5866 0.7342  1 Re 2.55, 1 Cd 2.74

Properties
The total energy comes out at -3.340 eV per atom.

=====

No. 4
Below is a geometry-optimized Tb2DyTm3As6 structure, with properties calculated at the PBE level.

Cell: 9.1601 9.1601 8.1924 Å, 102.88 102.88 25.86°
With the nearest neighbours (Å) after each atom.
Element x y z (fractional)
Tb: 0.1666 0.1666 0.3331  6 As 2.92
Tb: 0.8334 0.8334 0.6669  6 As 2.92
Dy: 0.5000 0.5000 0.0000  6 As 2.91
Tm: 0.1667 0.1667 0.8333  6 As 2.88
Tm: 0.5000 0.5000 0.5000  6 As 2.88
Tm: 0.8333 0.8333 0.1667  6 As 2.88
As: 0.0011 0.0011 0.7482  3 Tm 2.88, 2 Dy 2.91, 1 Tb 2.92
As: 0.3326 0.3326 0.9196  3 Tm 2.88, 1 Dy 2.91, 2 Tb 2.92
As: 0.3344 0.3344 0.4141  3 Tm 2.88, 3 Tb 2.92
As: 0.6656 0.6656 0.5859  3 Tm 2.88, 3 Tb 2.92
As: 0.6674 0.6674 0.0804  3 Tm 2.88, 1 Dy 2.91, 2 Tb 2.92
As: 0.9989 0.9989 0.2518  3 Tm 2.88, 2 Dy 2.91, 1 Tb 2.92

Properties
The total energy comes out at -6.119 eV per atom.

=====

No. 5
Below is a geometry-optimized CeAgCl2 structure, with properties calculated at the PBE level.

Cell: 8.9948 8.9948 8.9948 Å, 24.98 24.98 24.98°
With the nearest neighbours (Å) after each atom.
Element x y z (fractional)
Ce: 0.0000 0.0000 0.0000  2 Cl 2.75
Ag: 0.5000 0.5000 0.5000  6 Cl 2.76
Cl: 0.1051 0.1051 0.1051  1 Ce 2.75, 3 Ag 2.76
Cl: 0.8949 0.8949 0.8949  1 Ce 2.75, 3 Ag 2.76

Properties
The total energy comes out at -3.823 eV per atom.

=====

No. 6
Below is a geometry-optimized Rb4CoBr6 structure, with properties calculated at the PBE level.

Cell: 9.2945 9.2945 16.3196 Å, 109.56 109.56 53.45°
With the nearest neighbours (Å) after each atom.
Element x y z (fractional)
Rb: 0.1444 0.8556 0.5000  5 Br 3.29-3.60
Rb: 0.2067 0.5126 0.0453  5 Br 3.36-3.75
Rb: 0.3986 0.7407 0.8255  5 Br 3.33-3.69
Rb: 0.5126 0.2067 0.5453  5 Br 3.36-3.75
Rb: 0.5209 0.9448 0.1802  5 Br 3.32-3.59
Rb: 0.7407 0.3986 0.3255  5 Br 3.33-3.69
Rb: 0.8556 0.1444 0.0000  5 Br 3.29-3.60
Rb: 0.9448 0.5209 0.6802  5 Br 3.32-3.59
Co: 0.0526 0.5292 0.2796  4 Br 2.40-2.43
Co: 0.5292 0.0526 0.7796  4 Br 2.40-2.43
Br: 0.1884 0.6243 0.6315  4 Rb 3.29-3.37
Br: 0.2105 0.2456 0.3294  1 Co 2.41
Br: 0.2422 0.6341 0.2919  1 Co 2.40
Br: 0.2456 0.2105 0.8294  1 Co 2.41
Br: 0.2886 0.7940 0.0129  4 Rb 3.33-3.36
Br: 0.4995 0.9111 0.6258  1 Co 2.42
Br: 0.6243 0.1884 0.1315  4 Rb 3.29-3.37
Br: 0.6341 0.2422 0.7919  1 Co 2.40
Br: 0.7520 0.8108 0.8650  1 Co 2.43
Br: 0.7940 0.2886 0.5129  4 Rb 3.33-3.36
Br: 0.8108 0.7520 0.3650  1 Co 2.43
Br: 0.9111 0.4995 0.1258  1 Co 2.42

Properties
The total energy comes out at -3.243 eV per atom.

=====

No. 7
Below is a geometry-optimized CePrCl6 structure, with properties calculated at the PBE level.

Cell: 6.9814 6.9814 7.5861 Å, 93.65 93.65 120.45°
With the nearest neighbours (Å) after each atom.
Element x y z (fractional)
Ce: 0.0000 0.0000 0.0000  6 Cl 2.78-2.79
Pr: 0.0000 0.0000 0.5000  6 Cl 2.79-2.80
Cl: 0.0027 0.2953 0.7680  1 Ce 2.79, 1 Pr 2.79
Cl: 0.2953 0.0027 0.7680  1 Ce 2.79, 1 Pr 2.79
Cl: 0.2977 0.2977 0.2837  1 Ce 2.78, 1 Pr 2.80
Cl: 0.7023 0.7023 0.7163  1 Ce 2.78, 1 Pr 2.80
Cl: 0.7047 0.9973 0.2320  1 Ce 2.79, 1 Pr 2.79
Cl: 0.9973 0.7047 0.2320  1 Ce 2.79, 1 Pr 2.79

Properties
The calculation puts the energy above the most stable polymorph in this dataset at 43.6 meV per atom.

=====

No. 8
Below is a geometry-optimized CuPbCl2 structure, with properties calculated at the PBE level.

Cell: 3.2850 3.2850 8.0061 Å, 90.00 90.00 90.00°
With the nearest neighbours (Å) after each atom.
Element x y z (fractional)
Cu: 0.0000 0.0000 0.0000  8 Cl 2.80
Pb: 0.0000 0.0000 0.5000  4 Pb 3.29, 8 Cl 3.37
Cl: 0.5000 0.5000 0.1952  4 Cu 2.80, 1 Cl 3.13
Cl: 0.5000 0.5000 0.8048  4 Cu 2.80, 1 Cl 3.13

Properties
The calculation puts the energy above the most stable polymorph in this dataset at 311.8 meV per atom.

=====

No. 9
Below is a geometry-optimized RbSmF4 structure, with properties calculated at the PBE level.

Cell: 9.4850 9.4850 6.5467 Å, 90.00 90.00 152.29°
With the nearest neighbours (Å) after each atom.
Element x y z (fractional)
Rb: 0.1932 0.8068 0.5000  6 F 2.87-2.91
Rb: 0.8068 0.1932 0.0000  6 F 2.87-2.91
Sm: 0.4139 0.5861 0.5046  6 F 2.22-2.28
Sm: 0.5861 0.4139 0.0046  6 F 2.22-2.28
F: 0.0853 0.9147 0.0059  2 Sm 2.27
F: 0.3249 0.6751 0.7336  1 Sm 2.22
F: 0.3280 0.6720 0.2673  1 Sm 2.22
F: 0.4967 0.5033 0.7642  2 Sm 2.28
F: 0.5033 0.4967 0.2642  2 Sm 2.28
F: 0.6720 0.3280 0.7673  1 Sm 2.22
F: 0.6751 0.3249 0.2336  1 Sm 2.22
F: 0.9147 0.0853 0.5059  2 Sm 2.27

Properties
The total energy comes out at -5.851 eV per atom.

=====

No. 10
Below is a geometry-optimized Ta5RuRh4 structure, with properties calculated at the PBE level.

Cell: 2.9150 2.9150 18.8229 Å, 90.00 90.00 90.00°
With the nearest neighbours (Å) after each atom.
Element x y z (fractional)
Ta: 0.0000 0.0000 0.0000  8 Rh 2.80, 4 Ta 2.92
Ta: 0.0000 0.0000 0.2018  8 Rh 2.80-2.81, 4 Ta 2.92
Ta: 0.0000 0.0000 0.4037  4 Ru 2.74, 4 Rh 2.80, 4 Ta 2.92
Ta: 0.0000 0.0000 0.5963  4 Ru 2.74, 4 Rh 2.80, 4 Ta 2.92
Ta: 0.0000 0.0000 0.7982  8 Rh 2.80-2.81, 4 Ta 2.92
Ru: 0.5000 0.5000 0.5000  8 Ta 2.74, 4 Ru 2.92
Rh: 0.5000 0.5000 0.1010  8 Ta 2.80, 4 Rh 2.92
Rh: 0.5000 0.5000 0.3033  8 Ta 2.80-2.81, 4 Rh 2.92
Rh: 0.5000 0.5000 0.6967  8 Ta 2.80-2.81, 4 Rh 2.92
Rh: 0.5000 0.5000 0.8990  8 Ta 2.80, 4 Rh 2.92

Properties
The total energy comes out at -10.223 eV per atom.

=====

No. 11
Below is a geometry-optimized V2PH structure, with properties calculated at the PBE level.

Cell: 3.9538 3.9538 3.9538 Å, 60.00 60.00 60.00°
With the nearest neighbours (Å) after each atom.
Element x y z (fractional)
V: 0.2500 0.2500 0.2500  4 H 2.42, 4 P 2.42
V: 0.7500 0.7500 0.7500  4 H 2.42, 4 P 2.42
P: 0.0000 0.0000 0.0000  8 V 2.42
H: 0.5000 0.5000 0.5000  8 V 2.42

Properties
The calculation puts the energy above the most stable polymorph in this dataset at 453.2 meV per atom.

=====

No. 12
Below is a geometry-optimized ZnSb3S structure, with properties calculated at the PBE level.

Cell: 5.1775 5.1775 5.1775 Å, 90.00 90.00 90.00°
With the nearest neighbours (Å) after each atom.
Element x y z (fractional)
Zn: 0.0000 0.0000 0.0000  6 Sb 2.59
Sb: 0.0000 0.0000 0.5000  2 Zn 2.59
Sb: 0.0000 0.5000 0.0000  2 Zn 2.59
Sb: 0.5000 0.0000 0.0000  2 Zn 2.59
S: 0.5000 0.5000 0.5000  12 Sb 3.66

Properties
The calculation puts the energy above the most stable polymorph in this dataset at 141.6 meV per atom.